# 1
# LaScIn2Te

An optimized crystal structure of LaScIn2Te (PBEsol, Alexandria via LeMat-Bulk).

```
5
Lattice="-3.0879 1.6446 -4.0003 -1.9880 -4.9333 -0.4937 -3.8663 1.2096 3.4817" Properties=species:S:1:pos:R:3 pbc="T T T"
Sc 0.0000 0.0000 0.0000
Te -1.5439 0.8223 -2.0001
In -1.9331 0.6048 1.7409
In -0.9940 -2.4667 -0.2468
La -4.4711 -1.0395 -0.5061
```

Values from the calculation:
* crystal system: tetragonal
* calculated volume: 30.3 Å³/atom
* final energy: -4.52 eV per atom

# 2
# InAgW2

An optimized crystal structure of InAgW2 (PBEsol, Alexandria via LeMat-Bulk).

```
4
Lattice="3.3155 0.0000 0.0000 0.0000 3.3155 0.0000 0.0000 0.0000 6.3059" Properties=species:S:1:pos:R:3 pbc="T T T"
Ag 0.0000 0.0000 3.1588
In 1.6578 1.6578 4.6830
W 0.0000 0.0000 0.2337
W 1.6578 1.6578 1.3833
```

Values from the calculation:
* crystal system: tetragonal
* E_form: 1.7 eV per formula unit
* calculated volume: 17.3 Å³/atom
* final energy: -8.04 eV per atom

# 3
# HPd3Se

An optimized crystal structure of HPd3Se (PBEsol, Alexandria via LeMat-Bulk).

```
5
Lattice="-2.5586 -3.0598 2.3440 3.5525 -0.7804 2.8591 -1.4955 3.3811 2.7812" Properties=species:S:1:pos:R:3 pbc="T T T"
H -0.2508 -0.2295 3.9921
Se 0.0000 0.0000 0.0000
Pd 1.7763 -0.3902 1.4295
Pd -0.7478 1.6906 1.3906
Pd -1.2793 -1.5299 1.1720
```

Values from the calculation:
* crystal system: cubic
* calculated volume: 19.8 Å³/atom
* final energy: -4.15 eV per atom

# 4
# Ce5O9

An optimized crystal structure of Ce5O9 (PBEsol, Alexandria via LeMat-Bulk).

```
14
Lattice="5.5025 0.0000 0.0000 2.7513 6.0684 0.0000 2.7513 0.0000 6.0684" Properties=species:S:1:pos:R:3 pbc="T T T"
Ce 1.2420 1.9553 0.6159
Ce 7.0118 0.6159 4.1131
Ce 6.7446 4.1131 5.4525
Ce 7.0118 5.4525 1.9553
Ce 4.1269 3.0342 3.0342
O 0.0000 0.0000 0.0000
O 8.2362 2.4274 4.7460
O 5.5202 1.3225 2.4274
O 5.5202 4.7460 3.6411
O 5.5055 2.2214 4.9979
O 2.7483 1.0705 2.2214
O 8.2508 4.9979 3.8470
O 2.7336 3.6411 1.3225
O 5.5055 3.8470 1.0705
```

Values from the calculation:
* crystal system: tetragonal
* calculated volume: 14.5 Å³/atom
* final energy: -9.20 eV per atom

# 5
# TaAs2CSe

An optimized crystal structure of TaAs2CSe (PBEsol, Alexandria via LeMat-Bulk).

```
5
Lattice="-3.5061 -2.8502 1.7702 -1.7272 -0.7221 -4.5835 2.9555 -3.9416 -0.4928" Properties=species:S:1:pos:R:3 pbc="T T T"
As 1.4777 -1.9708 -0.2464
As -0.8636 -0.3611 -2.2918
C -1.1389 -3.7569 -1.6530
Se -1.7530 -1.4251 0.8851
Ta 0.0000 0.0000 0.0000
```

Values from the calculation:
* crystal system: tetragonal
* calculated volume: 23.8 Å³/atom
* final energy: -5.65 eV per atom

# 6
# Tl2CrRh

An optimized crystal structure of Tl2CrRh (PBEsol, Alexandria via LeMat-Bulk).

```
4
Lattice="-0.6280 -1.1059 -2.7882 -0.0306 -4.2193 1.6804 -5.1174 3.1187 1.5997" Properties=species:S:1:pos:R:3 pbc="T T T"
Cr -0.8886 -2.6157 -0.4465
Rh -2.5885 -1.8942 1.3343
Tl -5.3852 -2.2392 0.4169
Tl -3.0191 -0.3264 -0.8747
```

Values from the calculation:
* crystal system: orthorhombic
* E_form: 1.6 eV per formula unit
* calculated volume: 19.4 Å³/atom
* final energy: -5.50 eV per atom

Question: Among the records above, which one has the highest calculated volume?
Answer: LaScIn2Te

What did the sixth record say?
# Tl2CrRh

An optimized crystal structure of Tl2CrRh (PBEsol, Alexandria via LeMat-Bulk).

```
4
Lattice="-0.6280 -1.1059 -2.7882 -0.0306 -4.2193 1.6804 -5.1174 3.1187 1.5997" Properties=species:S:1:pos:R:3 pbc="T T T"
Cr -0.8886 -2.6157 -0.4465
Rh -2.5885 -1.8942 1.3343
Tl -5.3852 -2.2392 0.4169
Tl -3.0191 -0.3264 -0.8747
```

Values from the calculation:
* crystal system: orthorhombic
* E_form: 1.6 eV per formula unit
* calculated volume: 19.4 Å³/atom
* final energy: -5.50 eV per atom